# KTaCd | the Alexandria database | PBE | optimized geometry
# - Crystal system: triclinic
# - Formation enthalpy at 0 K: 1.5 eV/f.u.
# - Uncorrected energy: -4.1256 eV/atom
# - Polymorph energy (0 for the lowest one): 174.3 meV/atom
# - Calculated volume: 33.46 A^3/atom
data_KTaCd
_symmetry_space_group_name_H-M 'P 1'
_symmetry_Int_Tables_number 1
_cell_length_a 3.309
_cell_length_b 4.894
_cell_length_c 12.637
_cell_angle_alpha 101.15
_cell_angle_beta 90.04
_cell_angle_gamma 90.00
loop_
_symmetry_equiv_pos_as_xyz
'x,y,z'
loop_
_atom_site_label
_atom_site_type_symbol
_atom_site_fract_x
_atom_site_fract_y
_atom_site_fract_z
_atom_site_occupancy
K1 K 0.000 0.000 0.000 1
K2 K 0.492 0.655 0.313 1
Ta1 Ta 0.000 0.786 0.576 1
Ta2 Ta 0.501 0.867 0.737 1
Cd1 Cd 0.001 0.382 0.767 1
Cd2 Cd 0.501 0.271 0.545 1